<a>
SrAs3Rh: optimized geometry, GGA-PBE.

abc: 5.481 5.481 5.481
angles: 90.00 90.00 90.00
Atoms (fractional coordinates):
1 Sr 0.000 0.000 0.000
2 As 0.000 0.000 0.500
3 As 0.000 0.500 0.000
4 As 0.500 0.000 0.000
5 Rh 0.500 0.500 0.500

SG: Pm-3m (221)
DOS at the Fermi energy in states/eV/cell: 6.42
Volume in Å³/cell: 165

<b>
SrAs3Rh: optimized geometry, GGA-PBE.

abc: 4.943 4.943 4.943
angles: 90.00 90.00 90.00
Atoms (fractional coordinates):
1 Sr 0.000 0.000 0.000
2 As 0.000 0.500 0.500
3 As 0.500 0.000 0.500
4 As 0.500 0.500 0.000
5 Rh 0.500 0.500 0.500

SG: Pm-3m (221)
DOS at the Fermi energy in states/eV/cell: 5.79
Volume in Å³/cell: 121

Verdict on stability: <b> comes out on top.

<a>
SrAsRh3: optimized geometry, GGA-PBE.

abc: 4.661 4.661 4.661
angles: 90.00 90.00 90.00
Atoms (fractional coordinates):
1 Sr 0.000 0.000 0.000
2 As 0.500 0.500 0.500
3 Rh 0.000 0.500 0.500
4 Rh 0.500 0.000 0.500
5 Rh 0.500 0.500 0.000

SG: Pm-3m (221)
DOS at the Fermi energy in states/eV/cell: 1.26
Volume in Å³/cell: 101

<b>
SrAsRh3: optimized geometry, GGA-PBE.

abc: 4.920 4.920 4.920
angles: 90.00 90.00 90.00
Atoms (fractional coordinates):
1 Sr 0.000 0.000 0.000
2 As 0.500 0.500 0.500
3 Rh 0.000 0.000 0.500
4 Rh 0.000 0.500 0.000
5 Rh 0.500 0.000 0.000

SG: Pm-3m (221)
DOS at the Fermi energy in states/eV/cell: 3.98
Volume in Å³/cell: 119

Verdict on stability: <a> comes out on top.

<a>
TaAs3Rh: optimized geometry, GGA-PBE.

abc: 4.721 4.721 4.721
angles: 90.00 90.00 90.00
Atoms (fractional coordinates):
1 Ta 0.000 0.000 0.000
2 As 0.000 0.500 0.500
3 As 0.500 0.000 0.500
4 As 0.500 0.500 0.000
5 Rh 0.500 0.500 0.500

SG: Pm-3m (221)
DOS at the Fermi energy in states/eV/cell: 9.20
Volume in Å³/cell: 105

<b>
TaAs3Rh: optimized geometry, GGA-PBE.

abc: 4.922 4.922 4.922
angles: 90.00 90.00 90.00
Atoms (fractional coordinates):
1 Ta 0.000 0.000 0.000
2 As 0.000 0.000 0.500
3 As 0.000 0.500 0.000
4 As 0.500 0.000 0.000
5 Rh 0.500 0.500 0.500

SG: Pm-3m (221)
DOS at the Fermi energy in states/eV/cell: 4.33
Volume in Å³/cell: 119

Verdict on stability: <b> comes out on top.

<a>
TcAs4Rh: optimized geometry, GGA-PBE.

abc: 5.316 5.316 5.316
angles: 60.00 60.00 60.00
Atoms (fractional coordinates):
1 Tc 0.000 0.000 0.000
2 As 0.125 0.625 0.625
3 As 0.625 0.125 0.625
4 As 0.625 0.625 0.125
5 As 0.625 0.625 0.625
6 Rh 0.250 0.250 0.250

SG: F-43m (216)
DOS at the Fermi energy in states/eV/cell: 4.46
Volume in Å³/cell: 106

<b>
TcAs4Rh: optimized geometry, GGA-PBE.

abc: 6.108 6.059 5.977
angles: 90.00 90.51 90.00
Atoms (fractional coordinates):
1 Tc 0.000 0.000 0.000
2 Tc 0.000 0.500 0.500
3 As 0.125 0.125 0.380
4 As 0.125 0.375 0.880
5 As 0.376 0.618 0.383
6 As 0.376 0.882 0.883
7 As 0.624 0.118 0.117
8 As 0.624 0.382 0.617
9 As 0.875 0.625 0.120
10 As 0.875 0.875 0.620
11 Rh 0.500 0.000 0.500
12 Rh 0.500 0.500 0.000

SG: P2_1/c (14)
DOS at the Fermi energy in states/eV/cell: 11.70
Volume in Å³/cell: 221

Verdict on stability: <b> comes out on top.

<a>
Te3AsRh: optimized geometry, GGA-PBE.

abc: 5.334 5.334 5.334
angles: 90.00 90.00 90.00
Atoms (fractional coordinates):
1 Te 0.000 0.000 0.500
2 Te 0.000 0.500 0.000
3 Te 0.500 0.000 0.000
4 As 0.000 0.000 0.000
5 Rh 0.500 0.500 0.500

SG: Pm-3m (221)
DOS at the Fermi energy in states/eV/cell: 5.18
Volume in Å³/cell: 152

<b>
Te3AsRh: optimized geometry, GGA-PBE.

abc: 5.180 5.180 5.180
angles: 90.00 90.00 90.00
Atoms (fractional coordinates):
1 Te 0.000 0.000 0.500
2 Te 0.000 0.500 0.000
3 Te 0.500 0.000 0.000
4 As 0.500 0.500 0.500
5 Rh 0.000 0.000 0.000

SG: Pm-3m (221)
DOS at the Fermi energy in states/eV/cell: 6.02
Volume in Å³/cell: 139

Verdict on stability: <b> comes out on top.

<a>
TeAsRh3: optimized geometry, GGA-PBE.

abc: 4.601 4.601 4.601
angles: 90.00 90.00 90.00
Atoms (fractional coordinates):
1 Te 0.000 0.000 0.000
2 As 0.500 0.500 0.500
3 Rh 0.000 0.500 0.500
4 Rh 0.500 0.000 0.500
5 Rh 0.500 0.500 0.000

SG: Pm-3m (221)
DOS at the Fermi energy in states/eV/cell: 4.17
Volume in Å³/cell: 97

<b>
TeAsRh3: optimized geometry, GGA-PBE.

abc: 4.815 4.815 4.815
angles: 90.00 90.00 90.00
Atoms (fractional coordinates):
1 Te 0.000 0.000 0.000
2 As 0.500 0.500 0.500
3 Rh 0.000 0.000 0.500
4 Rh 0.000 0.500 0.000
5 Rh 0.500 0.000 0.000

SG: Pm-3m (221)
DOS at the Fermi energy in states/eV/cell: 10.41
Volume in Å³/cell: 112

Verdict on stability: <a> comes out on top.